5
Lattice="-3.280 -3.174 -0.385 0.844 -0.328 -4.490 3.084 -3.286 0.820" Properties=species:S:1:pos:R:3 comment="PBE Ge3BiC, relaxed" e_form_mev_per_atom=889 polymorph_energy_ev_per_atom=0.0000 space_group=Pm-3m density_g_cm3=7.58 magnetic_moment_mub_per_fu=0.0 pbc="T T T"
Ge 1.542 -1.643 0.410
Ge 0.422 -0.164 -2.245
Ge -1.640 -1.587 -0.192
Bi 0.324 -3.394 -2.027
C 0.000 0.000 0.000